1.
First-principles (PBE) data for a geometry-optimized TiVC structure, as listed in the Alexandria database.

a = 5.768 Å, b = 5.764 Å, c = 6.934 Å
α = 53.07°, β = 53.01°, γ = 73.92°
Fractional coordinates of all 12 atoms:
Ti  0.042  0.958  0.251
Ti  0.501  0.999  0.292
Ti  0.958  0.042  0.749
Ti  0.999  0.501  0.208
V  0.001  0.499  0.804
V  0.446  0.554  0.249
V  0.499  0.001  0.696
V  0.554  0.446  0.751
C  0.000  0.500  0.511
C  0.262  0.739  0.750
C  0.500  0.000  0.988
C  0.739  0.262  0.250

## Properties
The value obtained for the calculated volume is 12.2 A^3/atom. Its total energy is -9.283 eV per atom. The symmetry is Fdd2, No. 43.

***

2.
First-principles (PBE) data for a geometry-optimized LiNdScCd structure, as listed in the Alexandria database.

a = 5.207 Å, b = 5.207 Å, c = 5.207 Å
α = 60.00°, β = 60.00°, γ = 60.00°
Fractional coordinates of all 4 atoms:
Li  0.000  0.000  0.000
Nd  0.750  0.750  0.750
Sc  0.250  0.250  0.250
Cd  0.500  0.500  0.500

## Properties
The value obtained for the calculated volume is 25.0 A^3/atom. Its total energy is -3.568 eV per atom. The symmetry is F-43m, No. 216.

***

3.
First-principles (PBE) data for a geometry-optimized Li2CaZr structure, as listed in the Alexandria database.

a = 6.013 Å, b = 6.013 Å, c = 5.512 Å
α = 108.59°, β = 108.59°, γ = 30.12°
Fractional coordinates of all 4 atoms:
Li  0.000  0.000  0.000
Li  0.693  0.693  0.299
Ca  0.453  0.453  0.475
Zr  0.245  0.245  0.830

## Properties
The value obtained for the calculated volume is 23.6 A^3/atom. Its total energy is -3.261 eV per atom. The symmetry is Cm, No. 8.

***

4.
First-principles (PBE) data for a geometry-optimized CaCu2H structure, as listed in the Alexandria database.

a = 4.539 Å, b = 4.539 Å, c = 4.539 Å
α = 60.00°, β = 60.00°, γ = 60.00°
Fractional coordinates of all 4 atoms:
Ca  0.000  0.000  0.000
Cu  0.250  0.250  0.250
Cu  0.750  0.750  0.750
H  0.500  0.500  0.500

## Properties
The value obtained for the calculated volume is 16.5 A^3/atom. Its total energy is -2.749 eV per atom. The symmetry is Fm-3m, No. 225.

***

5.
First-principles (PBE) data for a geometry-optimized Sr3CuB2O6 structure, as listed in the Alexandria database.

a = 5.331 Å, b = 5.331 Å, c = 7.106 Å
α = 90.00°, β = 90.00°, γ = 120.00°
Fractional coordinates of all 12 atoms:
Sr  0.000  0.000  0.000
Sr  0.333  0.667  0.688
Sr  0.667  0.333  0.312
Cu  0.000  0.000  0.500
B  0.333  0.667  0.262
B  0.667  0.333  0.738
O  0.183  0.365  0.273
O  0.183  0.817  0.273
O  0.365  0.183  0.727
O  0.635  0.817  0.273
O  0.817  0.183  0.727
O  0.817  0.635  0.727

## Properties
The value obtained for the calculated volume is 14.6 A^3/atom. The uncorrected formation energy is -2.24 eV per atom. The symmetry is P-3m1, No. 164.

***

6.
First-principles (PBE) data for a geometry-optimized CaLuGaCu structure, as listed in the Alexandria database.

a = 4.980 Å, b = 4.980 Å, c = 4.980 Å
α = 60.00°, β = 60.00°, γ = 60.00°
Fractional coordinates of all 4 atoms:
Ca  0.000  0.000  0.000
Lu  0.500  0.500  0.500
Ga  0.250  0.250  0.250
Cu  0.750  0.750  0.750

## Properties
The value obtained for the calculated volume is 21.8 A^3/atom. Its total energy is -3.728 eV per atom. The symmetry is F-43m, No. 216.